Below is an optimized crystal structure of Cs2TlReBr8, with properties calculated at the PBE level.

Output
uncorrected formation energy = -0.8474 eV/atom

Unit cell a=6.1915 b=8.6643 c=9.3239 alpha=84.81 beta=83.88 gamma=89.94
Last column: nearest neighbours and their distance in Å.
Positions (direct):
Cs  0.2065  0.0238  0.2279  5 Br 3.50-3.70
Cs  0.7935  0.9762  0.7721  5 Br 3.50-3.70
Tl  0.0000  0.5000  0.0000  4 Br 3.12-3.38
Re  0.0000  0.5000  0.5000  6 Br 2.50-2.51
Br  0.2022  0.3416  0.6805  1 Re 2.51
Br  0.2237  0.7321  0.5332  1 Re 2.50
Br  0.2651  0.8088  0.9267  1 Tl 3.12, 1 Cs 3.50
Br  0.2714  0.4347  0.2958  1 Re 2.51
Br  0.7286  0.5653  0.7042  1 Re 2.51
Br  0.7349  0.1912  0.0733  1 Tl 3.12, 1 Cs 3.50
Br  0.7763  0.2679  0.4668  1 Re 2.50
Br  0.7978  0.6584  0.3195  1 Re 2.51

Below is an optimized crystal structure of CsTl2ReBr8, with properties calculated at the PBE level.

Output
uncorrected formation energy = -0.7090 eV/atom

Unit cell a=6.5118 b=9.9240 c=7.7571 alpha=90.00 beta=113.39 gamma=90.00
Last column: nearest neighbours and their distance in Å.
Positions (direct):
Cs  0.0000  0.0000  0.0000  6 Br 3.67-3.68
Tl  0.0000  0.2381  0.5000  6 Br 3.08-3.44
Tl  0.0000  0.7619  0.5000  6 Br 3.08-3.44
Re  0.0000  0.5000  0.0000  6 Br 2.49-2.52
Br  0.2285  0.5000  0.8083  1 Re 2.49
Br  0.2486  0.3220  0.2141  1 Re 2.52
Br  0.2486  0.6780  0.2141  1 Re 2.52
Br  0.3086  0.0000  0.6922  2 Tl 3.08
Br  0.6914  0.0000  0.3078  2 Tl 3.08
Br  0.7514  0.3220  0.7859  1 Re 2.52
Br  0.7514  0.6780  0.7859  1 Re 2.52
Br  0.7715  0.5000  0.1917  1 Re 2.49

Below is an optimized crystal structure of CsTlReBr6, with properties calculated at the PBE level.

Output
uncorrected formation energy = -0.7370 eV/atom

Unit cell a=8.3902 b=8.3902 c=11.5081 alpha=90.00 beta=90.00 gamma=120.00
Last column: nearest neighbours and their distance in Å.
Positions (direct):
Cs  0.3333  0.6667  0.2500  6 Br 3.62
Cs  0.6667  0.3333  0.7500  6 Br 3.62
Tl  0.0000  0.0000  0.0000  6 Br 3.46
Tl  0.0000  0.0000  0.5000  6 Br 3.46
Re  0.3333  0.6667  0.7500  6 Br 2.54
Re  0.6667  0.3333  0.2500  6 Br 2.54
Br  0.0939  0.4152  0.6208  1 Re 2.54
Br  0.0939  0.6787  0.8792  1 Re 2.54
Br  0.3213  0.4152  0.8792  1 Re 2.54
Br  0.3213  0.9061  0.6208  1 Re 2.54
Br  0.4152  0.0939  0.1208  1 Re 2.54
Br  0.4152  0.3213  0.3792  1 Re 2.54
Br  0.5848  0.6787  0.6208  1 Re 2.54
Br  0.5848  0.9061  0.8792  1 Re 2.54
Br  0.6787  0.0939  0.3792  1 Re 2.54
Br  0.6787  0.5848  0.1208  1 Re 2.54
Br  0.9061  0.3213  0.1208  1 Re 2.54
Br  0.9061  0.5848  0.3792  1 Re 2.54

Below is an optimized crystal structure of Cs2VReBr6, with properties calculated at the PBE level.

Output
uncorrected formation energy = -0.6731 eV/atom

Unit cell a=7.7041 b=7.7041 c=7.7041 alpha=60.00 beta=60.00 gamma=60.00
Last column: nearest neighbours and their distance in Å.
Positions (direct):
Cs  0.2500  0.2500  0.2500  12 Br 3.85
Cs  0.7500  0.7500  0.7500  12 Br 3.85
V  0.0000  0.0000  0.0000  6 Br 2.67
Re  0.5000  0.5000  0.5000  6 Br 2.78
Br  0.2452  0.2452  0.7548  1 V 2.67, 1 Re 2.78
Br  0.2452  0.7548  0.2452  1 V 2.67, 1 Re 2.78
Br  0.2452  0.7548  0.7548  1 V 2.67, 1 Re 2.78
Br  0.7548  0.2452  0.2452  1 V 2.67, 1 Re 2.78
Br  0.7548  0.2452  0.7548  1 V 2.67, 1 Re 2.78
Br  0.7548  0.7548  0.2452  1 V 2.67, 1 Re 2.78

Below is an optimized crystal structure of Cs2ZnReBr6, with properties calculated at the PBE level.

Output
uncorrected formation energy = -0.8165 eV/atom

Unit cell a=8.0695 b=8.0695 c=8.0695 alpha=60.00 beta=60.00 gamma=60.00
Last column: nearest neighbours and their distance in Å.
Positions (direct):
Cs  0.2500  0.2500  0.2500  12 Br 4.05
Cs  0.7500  0.7500  0.7500  12 Br 4.05
Zn  0.0000  0.0000  0.0000  6 Br 3.15
Re  0.5000  0.5000  0.5000  6 Br 2.56
Br  0.2759  0.2759  0.7241  1 Re 2.56
Br  0.2759  0.7241  0.2759  1 Re 2.56
Br  0.2759  0.7241  0.7241  1 Re 2.56
Br  0.7241  0.2759  0.2759  1 Re 2.56
Br  0.7241  0.2759  0.7241  1 Re 2.56
Br  0.7241  0.7241  0.2759  1 Re 2.56

Below is an optimized crystal structure of Cs3Rh2Br9, with properties calculated at the PBE level.

Output
uncorrected formation energy = -1.0412 eV/atom

Unit cell a=7.6985 b=7.6985 c=19.6391 alpha=90.00 beta=90.00 gamma=120.00
Last column: nearest neighbours and their distance in Å.
Positions (direct):
Cs  0.0000  0.0000  0.2500  12 Br 3.86-3.87
Cs  0.0000  0.0000  0.7500  12 Br 3.86-3.87
Cs  0.3333  0.6667  0.0660  9 Br 3.77-3.90
Cs  0.3333  0.6667  0.4340  9 Br 3.77-3.90
Cs  0.6667  0.3333  0.5660  9 Br 3.77-3.90
Cs  0.6667  0.3333  0.9340  9 Br 3.77-3.90
Rh  0.3333  0.6667  0.6668  6 Br 2.49-2.56
Rh  0.3333  0.6667  0.8332  6 Br 2.49-2.56
Rh  0.6667  0.3333  0.1668  6 Br 2.49-2.56
Rh  0.6667  0.3333  0.3332  6 Br 2.49-2.56
Br  0.0378  0.5189  0.7500  2 Rh 2.56
Br  0.1794  0.3587  0.5951  1 Rh 2.49
Br  0.1794  0.3587  0.9049  1 Rh 2.49
Br  0.1794  0.8206  0.5951  1 Rh 2.49
Br  0.1794  0.8206  0.9049  1 Rh 2.49
Br  0.3587  0.1794  0.0951  1 Rh 2.49
Br  0.3587  0.1794  0.4049  1 Rh 2.49
Br  0.4811  0.5189  0.7500  2 Rh 2.56
Br  0.4811  0.9622  0.7500  2 Rh 2.56
Br  0.5189  0.0378  0.2500  2 Rh 2.56
Br  0.5189  0.4811  0.2500  2 Rh 2.56
Br  0.6413  0.8206  0.5951  1 Rh 2.49
Br  0.6413  0.8206  0.9049  1 Rh 2.49
Br  0.8206  0.1794  0.0951  1 Rh 2.49
Br  0.8206  0.1794  0.4049  1 Rh 2.49
Br  0.8206  0.6413  0.0951  1 Rh 2.49
Br  0.8206  0.6413  0.4049  1 Rh 2.49
Br  0.9622  0.4811  0.2500  2 Rh 2.56

Q: Which of these has the highest uncorrected formation energy?
A: Cs2VReBr6